1.
Lu2BiS | PBE | optimized geometry

Summary:
ΔE_f (raw) ... -4.88 eV per formula unit

Lattice parameters (Å, degrees): 4.079 4.079 7.198 73.54 73.54 60.00
Positions (direct):
Lu (0.738, 0.738, 0.787)
Lu (0.262, 0.262, 0.213)
Bi (0.500, 0.500, 0.500)
S (0.000, 0.000, 0.000)

***

2.
Lu2BiSb | PBE | optimized geometry

Summary:
ΔE_f (raw) ... -3.49 eV per formula unit

Lattice parameters (Å, degrees): 4.358 4.358 7.555 73.24 73.24 60.00
Positions (direct):
Lu (0.748, 0.748, 0.756)
Lu (0.252, 0.252, 0.244)
Bi (0.500, 0.500, 0.500)
Sb (0.000, 0.000, 0.000)

***

3.
LuScTlBi | PBE | optimized geometry

Summary:
Calculated formation energy ... -0.289 eV/atom

Lattice parameters (Å, degrees): 5.288 5.288 5.288 60.00 60.00 60.00
Positions (direct):
Sc (0.000, 0.000, 0.000)
Tl (0.250, 0.250, 0.250)
Bi (0.750, 0.750, 0.750)
Lu (0.500, 0.500, 0.500)

***

4.
LuBiSe2 | PBE | optimized geometry

Summary:
ΔE_f (raw) ... -4.49 eV per formula unit

Lattice parameters (Å, degrees): 3.942 3.942 9.285 77.74 77.74 60.00
Positions (direct):
Se (0.107, 0.107, 0.678)
Se (0.893, 0.893, 0.322)
Lu (0.500, 0.500, 0.500)
Bi (0.000, 0.000, 0.000)

***

5.
LuSnBi | PBE | optimized geometry

Summary:
Energy relative to the lowest polymorph listed for this composition ... 0.000 eV per atom
Calculated formation energy ... -0.350 eV/atom

Lattice parameters (Å, degrees): 4.002 4.002 5.858 109.97 109.97 90.00
Positions (direct):
Sn (0.658, 0.658, 0.316)
Lu (0.000, 0.000, 0.999)
Bi (0.342, 0.342, 0.684)

***

6.
LuSnBi2 | PBE | optimized geometry

Summary:
Energy relative to the lowest polymorph listed for this composition ... 0.449 eV per atom
Calculated formation energy ... 0.189 eV/atom

Lattice parameters (Å, degrees): 4.666 4.666 9.241 75.38 75.38 60.00
Positions (direct):
Bi (0.109, 0.109, 0.672)
Bi (0.891, 0.891, 0.328)
Lu (0.500, 0.500, 0.500)
Sn (0.000, 0.000, 0.000)

***

7.
LuSnBi | PBE | optimized geometry

Summary:
Energy relative to the lowest polymorph listed for this composition ... 0.157 eV per atom
Calculated formation energy ... -0.193 eV/atom

Lattice parameters (Å, degrees): 3.294 5.467 5.467 120.00 90.00 90.00
Positions (direct):
Lu (0.331, 0.333, 0.667)
Bi (0.828, 0.667, 0.333)
Sn (0.841, 0.000, 0.000)

***

8.
LuSnBi2 | PBE | optimized geometry

Summary:
Energy relative to the lowest polymorph listed for this composition ... 0.000 eV per atom
Calculated formation energy ... -0.260 eV/atom

Lattice parameters (Å, degrees): 4.180 4.180 6.641 90.00 90.00 90.00
Positions (direct):
Sn (0.500, 0.500, 0.000)
Bi (0.000, 0.000, 0.263)
Bi (0.000, 0.000, 0.737)
Lu (0.500, 0.500, 0.500)

***

no.,final energy (eV/cell)
1,-21.93
2,-20.54
3,-18.25
4,-19.86
5,-13.45
6,-15.53
7,-12.98
8,-17.33